P | DFT (PBE-GGA) results for a relaxed structure of SiPb2Cl2.

```
data_SiPb2Cl2
_chemical_formula_sum 'Si2 Pb4 Cl4'
_symmetry_space_group_name_H-M 'P 4/m b m'
_symmetry_Int_Tables_number 127
_symmetry_space_group_name_Hall '-P 4 2ab'
_cell_length_a 8.9539
_cell_length_b 8.9539
_cell_length_c 3.3353
_cell_angle_alpha 90.00
_cell_angle_beta 90.00
_cell_angle_gamma 90.00
loop_
_atom_site_label
_atom_site_type_symbol
_atom_site_fract_x
_atom_site_fract_y
_atom_site_fract_z
Si1 Si 0.0000 0.0000 0.0000
Pb1 Pb 0.1936 0.3064 0.5000
Cl1 Cl 0.1202 0.6202 0.0000
```

Q | DFT (PBE-GGA) results for a relaxed structure of SiPb2Cl2.

```
data_SiPb2Cl2
_chemical_formula_sum 'Si2 Pb4 Cl4'
_symmetry_space_group_name_H-M 'I 4/m m m'
_symmetry_Int_Tables_number 139
_symmetry_space_group_name_Hall '-I 4 2'
_cell_length_a 5.8752
_cell_length_b 5.8752
_cell_length_c 8.1788
_cell_angle_alpha 90.00
_cell_angle_beta 90.00
_cell_angle_gamma 90.00
loop_
_atom_site_label
_atom_site_type_symbol
_atom_site_fract_x
_atom_site_fract_y
_atom_site_fract_z
Si1 Si 0.0000 0.0000 0.0000
Pb1 Pb 0.0000 0.5000 0.2500
Cl1 Cl 0.0000 0.0000 0.3208
```

Most stable pick: P. Distance to second place: 29 meV per atom.

P | DFT (PBE-GGA) results for a relaxed structure of Si3PbCl.

```
data_Si3PbCl
_chemical_formula_sum 'Si3 Pb1 Cl1'
_symmetry_space_group_name_H-M 'P m -3 m'
_symmetry_Int_Tables_number 221
_symmetry_space_group_name_Hall '-P 4 2 3'
_cell_length_a 4.8992
_cell_length_b 4.8992
_cell_length_c 4.8992
_cell_angle_alpha 90.00
_cell_angle_beta 90.00
_cell_angle_gamma 90.00
loop_
_atom_site_label
_atom_site_type_symbol
_atom_site_fract_x
_atom_site_fract_y
_atom_site_fract_z
Si1 Si 0.0000 0.0000 0.5000
Pb1 Pb 0.5000 0.5000 0.5000
Cl1 Cl 0.0000 0.0000 0.0000
```

Q | DFT (PBE-GGA) results for a relaxed structure of Si3PbCl.

```
data_Si3PbCl
_chemical_formula_sum 'Si3 Pb1 Cl1'
_symmetry_space_group_name_H-M 'P m -3 m'
_symmetry_Int_Tables_number 221
_symmetry_space_group_name_Hall '-P 4 2 3'
_cell_length_a 5.4508
_cell_length_b 5.4508
_cell_length_c 5.4508
_cell_angle_alpha 90.00
_cell_angle_beta 90.00
_cell_angle_gamma 90.00
loop_
_atom_site_label
_atom_site_type_symbol
_atom_site_fract_x
_atom_site_fract_y
_atom_site_fract_z
Si1 Si 0.0000 0.0000 0.5000
Pb1 Pb 0.0000 0.0000 0.0000
Cl1 Cl 0.5000 0.5000 0.5000
```

Most stable pick: P. Distance to second place: 420 meV per atom.

P | DFT (PBE-GGA) results for a relaxed structure of SiPbCl3.

```
data_SiPbCl3
_chemical_formula_sum 'Si1 Pb1 Cl3'
_symmetry_space_group_name_H-M 'P m -3 m'
_symmetry_Int_Tables_number 221
_symmetry_space_group_name_Hall '-P 4 2 3'
_cell_length_a 5.0751
_cell_length_b 5.0751
_cell_length_c 5.0751
_cell_angle_alpha 90.00
_cell_angle_beta 90.00
_cell_angle_gamma 90.00
loop_
_atom_site_label
_atom_site_type_symbol
_atom_site_fract_x
_atom_site_fract_y
_atom_site_fract_z
Si1 Si 0.0000 0.0000 0.0000
Pb1 Pb 0.5000 0.5000 0.5000
Cl1 Cl 0.0000 0.0000 0.5000
```

Q | DFT (PBE-GGA) results for a relaxed structure of SiPbCl3.

```
data_SiPbCl3
_chemical_formula_sum 'Si1 Pb1 Cl3'
_symmetry_space_group_name_H-M 'P m -3 m'
_symmetry_Int_Tables_number 221
_symmetry_space_group_name_Hall '-P 4 2 3'
_cell_length_a 5.6000
_cell_length_b 5.6000
_cell_length_c 5.6000
_cell_angle_alpha 90.00
_cell_angle_beta 90.00
_cell_angle_gamma 90.00
loop_
_atom_site_label
_atom_site_type_symbol
_atom_site_fract_x
_atom_site_fract_y
_atom_site_fract_z
Si1 Si 0.0000 0.0000 0.0000
Pb1 Pb 0.5000 0.5000 0.5000
Cl1 Cl 0.0000 0.5000 0.5000
```

Most stable pick: P. Distance to second place: 302 meV per atom.

P | DFT (PBE-GGA) results for a relaxed structure of SnPb3Cl.

```
data_SnPb3Cl
_chemical_formula_sum 'Sn1 Pb3 Cl1'
_symmetry_space_group_name_H-M 'P m -3 m'
_symmetry_Int_Tables_number 221
_symmetry_space_group_name_Hall '-P 4 2 3'
_cell_length_a 5.5839
_cell_length_b 5.5839
_cell_length_c 5.5839
_cell_angle_alpha 90.00
_cell_angle_beta 90.00
_cell_angle_gamma 90.00
loop_
_atom_site_label
_atom_site_type_symbol
_atom_site_fract_x
_atom_site_fract_y
_atom_site_fract_z
Sn1 Sn 0.0000 0.0000 0.0000
Pb1 Pb 0.0000 0.5000 0.5000
Cl1 Cl 0.5000 0.5000 0.5000
```

Q | DFT (PBE-GGA) results for a relaxed structure of SnPb3Cl.

```
data_SnPb3Cl
_chemical_formula_sum 'Sn1 Pb3 Cl1'
_symmetry_space_group_name_H-M 'P m -3 m'
_symmetry_Int_Tables_number 221
_symmetry_space_group_name_Hall '-P 4 2 3'
_cell_length_a 5.9248
_cell_length_b 5.9248
_cell_length_c 5.9248
_cell_angle_alpha 90.00
_cell_angle_beta 90.00
_cell_angle_gamma 90.00
loop_
_atom_site_label
_atom_site_type_symbol
_atom_site_fract_x
_atom_site_fract_y
_atom_site_fract_z
Sn1 Sn 0.0000 0.0000 0.0000
Pb1 Pb 0.0000 0.0000 0.5000
Cl1 Cl 0.5000 0.5000 0.5000
```

Most stable pick: P. Distance to second place: 94 meV per atom.